Entry from OQMD: a relaxed YInHgTe3 crystal (PBE).

a = 8.8731 Å, b = 4.6409 Å, c = 18.5542 Å
α = 90.00°, β = 90.00°, γ = 90.00°
With the nearest neighbours (Å) after each atom.
Space group Pnma (No. 62)
Unique sites:
Y 0.2257 0.2500 0.0394 [4 per cell]  7 Te 3.10-3.38
In 0.0666 0.2500 0.8031 [4 per cell]  6 Te 3.47, 2 Hg 3.68
Hg 0.0604 0.2500 0.3384 [4 per cell]  4 Te 2.83-3.11
Te 0.0059 0.2500 0.5724 [4 per cell]  2 Hg 2.91, 1 Y 3.24
Te 0.1245 0.7500 0.9396 [4 per cell]  3 Y 3.10-3.13, 1 Hg 3.37, 2 In 3.47
Te 0.2229 0.2500 0.2070 [4 per cell]  2 Hg 2.83-3.11, 1 Y 3.11

Properties
Energy ... -3.741 eV per atom
Crystal system ... orthorhombic
ΔE to the lowest computed polymorph ... 104 meV/atom